(1)
A plane-wave DFT calculation with PBE was carried out for a geometry-optimized SiPHS structure.

Lattice parameters (Å, degrees): 2.546 4.204 6.560 92.43 100.92 90.01
Atoms (fractional coordinates):
1 Si 0.000 0.000 0.000
2 P 0.825 0.023 0.642
3 H 0.815 0.683 0.621
4 S 0.074 0.503 0.151

Results
Excess energy over the best structure of this formula in the dataset = 0.305 eV/atom

***

(2)
A plane-wave DFT calculation with PBE was carried out for a geometry-optimized Na2Cu2O3 structure.

Lattice parameters (Å, degrees): 6.616 6.616 6.616 109.47 109.47 109.47
Atoms (fractional coordinates):
1 Na 0.000 0.540 0.500
2 Na 0.500 0.000 0.540
3 Na 0.540 0.500 0.000
4 Na 0.960 0.960 0.960
5 Cu 0.000 0.098 0.500
6 Cu 0.098 0.500 0.000
7 Cu 0.402 0.402 0.402
8 Cu 0.500 0.000 0.098
9 O 0.169 0.750 0.919
10 O 0.250 0.581 0.331
11 O 0.331 0.250 0.581
12 O 0.581 0.331 0.250
13 O 0.750 0.919 0.169
14 O 0.919 0.169 0.750

Results
ΔE_f (raw) = -853 meV per atom
Excess energy over the best structure of this formula in the dataset = 0.013 eV/atom